First-principles (GGA-PBE) data for a relaxed structure of TbPmCu, as listed in Alexandria via LeMat-Bulk.

Cell and atoms, written as POSCAR:
```
TbPmCu
1.0
-1.134 1.528 3.294
2.082 -3.632 2.402
2.518 3.998 -0.988
Pm Tb Cu
1 1 1
Cartesian
2.052 1.887 1.075 Pm
1.387 0.044 3.713 Tb
-1.107 1.491 3.215 Cu
```

Computed properties:
- E_form (eV/atom) = 0.06
- DOS(E_F) (states/eV/cell) = 2.98
- volume (Å³ per atom) = 25.584
- calculated total energy (eV per atom) = -4.43
- energy relative to the lowest polymorph listed for this composition (kJ per mole of atoms) = 18.00
- M_tot (μB/cell) = 0.0


First-principles (GGA-PBE) data for a relaxed structure of BaCrSiSn2, as listed in Alexandria via LeMat-Bulk.

Cell and atoms, written as POSCAR:
```
BaCrSiSn2
1.0
6.110 0.000 0.000
0.000 5.596 0.000
0.000 0.000 6.110
Ba Si Cr Sn
1 1 1 2
Cartesian
0.000 0.000 0.000 Ba
3.055 2.798 3.055 Si
0.000 2.798 0.000 Cr
0.000 0.000 3.055 Sn
3.055 0.000 0.000 Sn
```

Computed properties:
- DOS(E_F) (states/eV/cell) = 4.62
- volume (Å³ per atom) = 41.779
- energy relative to the elements, uncorrected (eV/f.u.) = 8.866
- calculated total energy (eV per atom) = -3.22
- M_tot (μB/cell) = 4.8